# 1
! PBE BaCa2TeIr, relaxed; values from VASP
! SG = No. 123
! magnetization = 0.00 μB per formula unit
! E_tot = -4.18 eV/atom
&SYSTEM
  ibrav = 0, nat = 5, ntyp = 4
/
ATOMIC_SPECIES
Ba 137.33 Ba.upf
Ca 40.08 Ca.upf
Te 127.60 Te.upf
Ir 192.22 Ir.upf
ATOMIC_POSITIONS angstrom
Ba 0.0000 0.0000 0.0000
Ca 0.0000 2.7284 2.9981
Ca 2.7284 0.0000 2.9981
Te 2.7284 2.7284 0.0000
Ir 0.0000 0.0000 2.9981
CELL_PARAMETERS angstrom
5.4568 0.0000 0.0000
0.0000 5.4568 0.0000
0.0000 0.0000 5.9962


# 2
! PBE BaCaTeIr2, relaxed; values from VASP
! SG = No. 123
! magnetization = 1.52 μB per formula unit
! E_tot = -3.86 eV/atom
&SYSTEM
  ibrav = 0, nat = 5, ntyp = 4
/
ATOMIC_SPECIES
Ba 137.33 Ba.upf
Ca 40.08 Ca.upf
Te 127.60 Te.upf
Ir 192.22 Ir.upf
ATOMIC_POSITIONS angstrom
Ba 0.0000 0.0000 0.0000
Ca 0.0000 0.0000 3.0896
Te 2.5027 2.5027 0.0000
Ir 0.0000 2.5027 3.0896
Ir 2.5027 0.0000 3.0896
CELL_PARAMETERS angstrom
5.0054 0.0000 0.0000
0.0000 5.0054 0.0000
0.0000 0.0000 6.1793


# 3
! PBE BaCa2TlIr, relaxed; values from VASP
! SG = No. 123
! magnetization = 0.00 μB per formula unit
! energy above the lowest structure with this stoichiometry = 0.012 eV/atom
! E_tot = -3.62 eV/atom
! calculated formation energy = -189 meV/atom
&SYSTEM
  ibrav = 0, nat = 5, ntyp = 4
/
ATOMIC_SPECIES
Ba 137.33 Ba.upf
Ca 40.08 Ca.upf
Tl 204.38 Tl.upf
Ir 192.22 Ir.upf
ATOMIC_POSITIONS angstrom
Ba 0.0000 0.0000 0.0000
Ca 0.0000 2.7688 3.0322
Ca 2.7688 0.0000 3.0322
Tl 2.7688 2.7688 0.0000
Ir 0.0000 0.0000 3.0322
CELL_PARAMETERS angstrom
5.5376 0.0000 0.0000
0.0000 5.5376 0.0000
0.0000 0.0000 6.0644


# 4
! PBE BaCa2TlIr, relaxed; values from VASP
! SG = No. 123
! magnetization = 0.00 μB per formula unit
! energy above the lowest structure with this stoichiometry = 0.000 eV/atom
! E_tot = -3.63 eV/atom
! calculated formation energy = -201 meV/atom
&SYSTEM
  ibrav = 0, nat = 5, ntyp = 4
/
ATOMIC_SPECIES
Ba 137.33 Ba.upf
Ca 40.08 Ca.upf
Tl 204.38 Tl.upf
Ir 192.22 Ir.upf
ATOMIC_POSITIONS angstrom
Ba 0.0000 0.0000 0.0000
Ca 0.0000 2.7733 2.7255
Ca 2.7733 0.0000 2.7255
Tl 2.7733 2.7733 0.0000
Ir 2.7733 2.7733 2.7255
CELL_PARAMETERS angstrom
5.5466 0.0000 0.0000
0.0000 5.5466 0.0000
0.0000 0.0000 5.4510